Here is a relaxed structure of LaMoI2O from Alexandria. Energies are from PBE+U.

Lattice parameters (Å, degrees): 6.1096 6.1096 3.8736 90.00 90.00 90.00
With the nearest neighbours (Å) after each atom.
Space group P4/mmm (No. 123)
Inequivalent atoms, fractional coordinates:
La  0.0000  0.0000  0.0000 x1  8 I 3.62, 2 La 3.87
Mo  0.5000  0.5000  0.0000 x1  2 O 1.94
I  0.0000  0.5000  0.5000 x2  2 O 3.05
O  0.5000  0.5000  0.5000 x1  2 Mo 1.94

* N(E_F): 3.13 states/eV/cell
* energy relative to the lowest polymorph listed for this composition: 39.9 kJ/mol of atoms